No. 1
Compound: LaMn2Mo
Source: the Alexandria database
Functional: meta-GGA SCAN
Structure: PBEsol geometry

Cell lengths 3.3865, 4.4772, 4.4603 Å; angles 90.00, 90.00, 90.00 degrees
Site moments in Bohr magnetons follow the coordinates.
Fractional coordinates of all 4 atoms:
Mn  0.0000  0.0000  0.0000  3.82
Mn  0.5000  0.0000  0.5000  3.62
La  0.0000  0.5000  0.5000  -0.06
Mo  0.5000  0.5000  0.0000  -0.36

Summary:
**Volume**: 16.9 Å³ per atom
**Density of states at the Fermi level**: 3.5 states/eV/f.u.
**Space group**: Pmmm, No. 47
**ΔH_f (0 K)**: 0.521 eV/atom

=====

No. 2
Compound: La2MnMoPd
Source: the Alexandria database
Functional: meta-GGA SCAN
Structure: PBEsol geometry

Cell lengths 4.7506, 5.3712, 5.3712 Å; angles 90.00, 90.00, 90.00 degrees
Site moments in Bohr magnetons follow the coordinates.
Fractional coordinates of all 5 atoms:
Pd  0.5000  0.0000  0.0000  -0.04
Mo  0.0000  0.0000  0.0000  -0.11
La  0.0000  0.0000  0.5000  0.03
La  0.0000  0.5000  0.0000  0.03
Mn  0.5000  0.5000  0.5000  -4.54

Summary:
**Volume**: 27.4 Å³ per atom
**Density of states at the Fermi level**: 3.8 states/eV/f.u.
**Space group**: P4/mmm, No. 123
**ΔH_f (0 K)**: 0.490 eV/atom

=====

No. 3
Compound: LaMnN2
Source: the Alexandria database
Functional: meta-GGA SCAN
Structure: PBEsol geometry

Cell lengths 4.7374, 4.7374, 5.9434 Å; angles 113.49, 113.49, 90.00 degrees
Fractional coordinates of all 8 atoms:
La  0.0000  0.0000  0.0000
La  0.2500  0.7500  0.5000
N  0.1250  0.2537  0.7500
N  0.5037  0.8750  0.2500
N  0.7463  0.3750  0.2500
N  0.6250  0.4963  0.7500
Mn  0.7500  0.2500  0.5000
Mn  0.5000  0.5000  0.0000

Summary:
**Volume**: 13.8 Å³ per atom
**ΔE_f (raw)**: -0.777 eV per atom
**Density of states at the Fermi level**: 2.0 states/eV/f.u.
**Space group**: I-42d, No. 122

=====

No. 4
Compound: LaMnSe2N
Source: the Alexandria database
Functional: meta-GGA SCAN
Structure: PBEsol geometry

Cell lengths 4.0610, 5.7350, 5.7350 Å; angles 90.00, 90.00, 90.00 degrees
Site moments in Bohr magnetons follow the coordinates.
Fractional coordinates of all 5 atoms:
Mn  0.5000  0.5000  0.5000  4.74
Se  0.0000  0.5000  0.0000  -0.25
Se  0.0000  0.0000  0.5000  -0.25
N  0.5000  0.0000  0.0000  -0.11
La  0.0000  0.0000  0.0000  0.00

Summary:
**Volume**: 26.7 Å³ per atom
**ΔE_f (raw)**: 0.081 eV per atom
**Density of states at the Fermi level**: 2.3 states/eV/f.u.
**Space group**: P4/mmm, No. 123

=====

No. 5
Compound: NaLa3Mn
Source: the Alexandria database
Functional: meta-GGA SCAN
Structure: PBEsol geometry

Cell lengths 5.3439, 5.3439, 5.3439 Å; angles 90.00, 90.00, 90.00 degrees
Site moments in Bohr magnetons follow the coordinates.
Fractional coordinates of all 5 atoms:
La  0.0000  0.5000  0.0000  -0.09
La  0.0000  0.0000  0.5000  -0.09
La  0.5000  0.0000  0.0000  -0.09
Mn  0.0000  0.0000  0.0000  1.21
Na  0.5000  0.5000  0.5000  0.00

Summary:
**Volume**: 30.5 Å³ per atom
**Density of states at the Fermi level**: 4.6 states/eV/f.u.
**Space group**: Pm-3m, No. 221
**ΔH_f (0 K)**: 0.205 eV/atom

=====

No. 6
Compound: Na2LaMn
Source: the Alexandria database
Functional: meta-GGA SCAN
Structure: PBEsol geometry

Cell lengths 5.3622, 5.3622, 5.3622 Å; angles 60.00, 60.00, 60.00 degrees
Site moments in Bohr magnetons follow the coordinates.
Fractional coordinates of all 4 atoms:
Mn  0.0000  0.0000  0.0000  4.57
Na  0.7500  0.7500  0.7500  -0.01
Na  0.2500  0.2500  0.2500  -0.01
La  0.5000  0.5000  0.5000  0.02

Summary:
**Volume**: 27.3 Å³ per atom
**Density of states at the Fermi level**: 4.0 states/eV/f.u.
**Space group**: Fm-3m, No. 225
**ΔH_f (0 K)**: 0.408 eV/atom

=====

No. 7
Compound: NaLaMnS2
Source: the Alexandria database
Functional: meta-GGA SCAN
Structure: PBEsol geometry

Cell lengths 4.4685, 4.9051, 4.9051 Å; angles 90.00, 90.00, 90.00 degrees
Site moments in Bohr magnetons follow the coordinates.
Fractional coordinates of all 5 atoms:
Mn  0.5000  0.0000  0.0000  4.48
La  0.5000  0.5000  0.5000  -0.08
S  0.0000  0.0000  0.5000  0.08
S  0.0000  0.5000  0.0000  0.08
Na  0.0000  0.0000  0.0000  0.04

Summary:
**Volume**: 21.5 Å³ per atom
**ΔE_f (raw)**: -0.455 eV per atom
**Density of states at the Fermi level**: 1.3 states/eV/f.u.
**Space group**: P4/mmm, No. 123

=====

No. 8
Compound: LaMn2Nb
Source: the Alexandria database
Functional: meta-GGA SCAN
Structure: PBEsol geometry

Cell lengths 4.6070, 4.6070, 4.6070 Å; angles 60.00, 60.00, 60.00 degrees
Site moments in Bohr magnetons follow the coordinates.
Fractional coordinates of all 4 atoms:
Nb  0.0000  0.0000  0.0000  -1.61
Mn  0.7500  0.7500  0.7500  3.19
Mn  0.2500  0.2500  0.2500  3.19
La  0.5000  0.5000  0.5000  -0.26

Summary:
**Volume**: 17.3 Å³ per atom
**Density of states at the Fermi level**: 4.2 states/eV/f.u.
**Space group**: Fm-3m, No. 225
**ΔH_f (0 K)**: 0.329 eV/atom

=====

No. 9
Compound: LaMnNi3
Source: the Alexandria database
Functional: meta-GGA SCAN
Structure: PBEsol geometry

Cell lengths 4.6171, 4.6171, 4.6171 Å; angles 90.00, 90.00, 90.00 degrees
Site moments in Bohr magnetons follow the coordinates.
Fractional coordinates of all 5 atoms:
Ni  0.0000  0.0000  0.5000  0.01
Ni  0.5000  0.0000  0.0000  0.01
Ni  0.0000  0.5000  0.0000  0.01
La  0.0000  0.0000  0.0000  -0.11
Mn  0.5000  0.5000  0.5000  4.51

Summary:
**Volume**: 19.7 Å³ per atom
**Density of states at the Fermi level**: 3.2 states/eV/f.u.
**Space group**: Pm-3m, No. 221
**ΔH_f (0 K)**: 1.296 eV/atom

=====

No. 10
Compound: La2MnNi
Source: the Alexandria database
Functional: meta-GGA SCAN
Structure: PBEsol geometry

Cell lengths 4.1236, 4.1236, 5.7057 Å; angles 111.18, 111.18, 90.00 degrees
Site moments in Bohr magnetons follow the coordinates.
Fractional coordinates of all 4 atoms:
La  0.7500  0.2500  0.5000  -0.20
La  0.0000  0.0000  0.0000  -0.32
Mn  0.5000  0.5000  0.0000  3.69
Ni  0.2500  0.7500  0.5000  0.16

Summary:
**Volume**: 20.8 Å³ per atom
**Density of states at the Fermi level**: 3.8 states/eV/f.u.
**Space group**: I-4m2, No. 119
**ΔH_f (0 K)**: 0.117 eV/atom

=====

No. 11
Compound: La2MnNi
Source: the Alexandria database
Functional: meta-GGA SCAN
Structure: PBEsol geometry

Cell lengths 4.8318, 4.8318, 4.8318 Å; angles 60.00, 60.00, 60.00 degrees
Site moments in Bohr magnetons follow the coordinates.
Fractional coordinates of all 4 atoms:
La  0.0000  0.0000  0.0000  -0.11
La  0.7500  0.7500  0.7500  0.02
Mn  0.5000  0.5000  0.5000  3.98
Ni  0.2500  0.2500  0.2500  0.39

Summary:
**Volume**: 19.9 Å³ per atom
**Density of states at the Fermi level**: 4.4 states/eV/f.u.
**Space group**: F-43m, No. 216
**ΔH_f (0 K)**: 0.064 eV/atom

=====

No. 12
Compound: LaMnNi
Source: the Alexandria database
Functional: meta-GGA SCAN
Structure: PBEsol geometry

Cell lengths 4.3779, 4.3779, 4.3779 Å; angles 60.00, 60.00, 60.00 degrees
Site moments in Bohr magnetons follow the coordinates.
Fractional coordinates of all 3 atoms:
Mn  0.0000  0.0000  0.0000  3.64
La  0.2500  0.2500  0.2500  -0.16
Ni  0.5000  0.5000  0.5000  0.17

Summary:
**Volume**: 19.8 Å³ per atom
**Density of states at the Fermi level**: 3.7 states/eV/f.u.
**Space group**: F-43m, No. 216
**ΔH_f (0 K)**: 0.828 eV/atom

=====

Ρ, record by record: 8.5; 6.5; 6.7; 4.5; 5.4; 3.7; 4.3; 8.2; 6.2; 7.8; 8.1; 7.1 g/cm3